# SrTb8Sm6

A relaxed structure of SrTb8Sm6 (PBE-GGA, Alexandria).

Results
- Calculated formation energy: 0.212 eV per atom
- M_tot: 0.0 μB/f.u.

Cell and atoms, written as CIF:
```
data_SrTb8Sm6
_chemical_formula_sum 'Sr3 Tb24 Sm18'
_cell_length_a 9.7822
_cell_length_b 9.7822
_cell_length_c 18.2216
_cell_angle_alpha 90.00
_cell_angle_beta 90.00
_cell_angle_gamma 120.00
_space_group_name_H-M_alt 'R -3'
_space_group_IT_number 148
_space_group_name_Hall '-R 3'
loop_
_atom_site_label
_atom_site_type_symbol
_atom_site_fract_x
_atom_site_fract_y
_atom_site_fract_z
Sr1 Sr 0.0000 0.0000 0.0000
Tb1 Tb 0.0000 0.0000 0.2362
Tb2 Tb 0.0461 0.2832 0.9007
Sm1 Sm 0.0260 0.2355 0.4081
```